{
  "formula": "Cs3KSc",
  "functional": "GGA-PBEsol",
  "state": "optimized geometry",
  "space_group": "No. 221",
  "energy_ev_per_atom": -1.46,
  "lattice_angstrom": [[7.5629, 0.0000, 0.0000], [0.0000, 7.5629, 0.0000], [0.0000, 0.0000, 7.5629]],
  "species": ["Cs", "Cs", "Cs", "K", "Sc"],
  "frac_coords": [[0.0000, 0.0000, 0.5000], [0.0000, 0.5000, 0.0000], [0.5000, 0.0000, 0.0000], [0.5000, 0.5000, 0.5000], [0.0000, 0.0000, 0.0000]]
}